1.
Density functional theory data (PBE-GGA) for a relaxed NaPtBr6 crystal.

Uncorrected energy = -2.52 eV per atom
Formation energy from raw total energies = -0.343 eV/atom
E above lowest polymorph = 0.116 eV per atom

abc: 15.1996 8.6866 4.5305
angles: 90.00 105.10 90.00
Closest atoms and distances in Å follow each position.
Space group C2/m (No. 12)
Symmetry-distinct sites (fractional):
1 Na 0.0000 0.0000 0.0000 [2 per cell]  4 Br 2.90-2.95
2 Pt 0.0000 0.5000 0.5000 [2 per cell]  4 Br 2.45
3 Br 0.1265 0.0000 0.6179 [4 per cell]  2 Br 2.81, 2 Na 2.90-2.95
4 Br 0.1274 0.3221 0.6861 [8 per cell]  1 Pt 2.45

---

2.
Density functional theory data (PBE-GGA) for a relaxed NaPtBr crystal.

Uncorrected energy = -3.59 eV per atom
Formation energy from raw total energies = -0.582 eV/atom
E above lowest polymorph = 0.007 eV per atom

abc: 3.7650 4.8427 8.7375
angles: 73.99 89.59 89.99
Closest atoms and distances in Å follow each position.
Space group P1 (No. 1)
Symmetry-distinct sites (fractional):
1 Na 0.0000 0.0000 0.0000 [1 per cell]  5 Br 2.99-3.07, 2 Pt 3.05
2 Na 0.0124 0.2157 0.5664 [1 per cell]  2 Br 3.00, 6 Pt 3.01-3.07
3 Pt 0.0076 0.6099 0.7790 [1 per cell]  2 Pt 2.58, 2 Br 2.63-2.64
4 Pt 0.5111 0.7144 0.5690 [1 per cell]  2 Pt 2.58, 2 Br 2.60
5 Br 0.0141 0.8206 0.3554 [1 per cell]  2 Pt 2.60
6 Br 0.5031 0.5007 0.9985 [1 per cell]  2 Pt 2.63-2.64

---

3.
Density functional theory data (PBE-GGA) for a relaxed NaPtSeBr2 crystal.

Uncorrected energy = -2.07 eV per atom
Formation energy from raw total energies = 0.772 eV/atom
E above lowest polymorph = 1.153 eV per atom

abc: 5.1136 5.1136 5.3555
angles: 90.00 90.00 90.00
Closest atoms and distances in Å follow each position.
Space group P4/mmm (No. 123)
Symmetry-distinct sites (fractional):
1 Na 0.0000 0.0000 0.0000 [1 per cell]  4 Br 2.56, 2 Se 2.68
2 Pt 0.5000 0.5000 0.5000 [1 per cell]  4 Se 3.62, 8 Br 3.70
3 Se 0.0000 0.0000 0.5000 [1 per cell]  2 Na 2.68
4 Br 0.0000 0.5000 0.0000 [2 per cell]  2 Na 2.56